Entry 1:
RePtI2O | PBE | optimized geometry

a b c (Å): 5.466 5.466 3.719
angles (deg): 90.00 90.00 90.00
Sites, in units of the cell vectors:
I: 0.000 0.500 0.000
I: 0.500 0.000 0.000
Re: 0.000 0.000 0.000
O: 0.000 0.000 0.500
Pt: 0.500 0.500 0.500

SG: P4/mmm (123)
ΔE_f (raw): 0.337 eV/atom
distance to the lowest polymorph of the same formula: 0 meV/atom

Entry 2:
RePtI2O | PBE | optimized geometry

a b c (Å): 5.700 5.700 3.802
angles (deg): 90.00 90.00 90.00
Sites, in units of the cell vectors:
I: 0.000 0.500 0.000
I: 0.500 0.000 0.000
Re: 0.500 0.500 0.500
O: 0.000 0.000 0.500
Pt: 0.000 0.000 0.000

SG: P4/mmm (123)
ΔE_f (raw): 1.086 eV/atom
distance to the lowest polymorph of the same formula: 749 meV/atom

Entry 3:
Ru2PtIO | PBE | optimized geometry

a b c (Å): 3.936 6.307 3.936
angles (deg): 90.00 90.00 90.00
Sites, in units of the cell vectors:
I: 0.500 0.500 0.500
Ru: 0.000 0.000 0.500
Ru: 0.500 0.000 0.000
O: 0.000 0.000 0.000
Pt: 0.000 0.500 0.000

SG: P4/mmm (123)
ΔE_f (raw): 0.751 eV/atom

Entry 4:
RuPtI2O | PBE | optimized geometry

a b c (Å): 5.668 5.668 3.777
angles (deg): 90.00 90.00 90.00
Sites, in units of the cell vectors:
I: 0.000 0.500 0.000
I: 0.500 0.000 0.000
Ru: 0.500 0.500 0.500
O: 0.000 0.000 0.500
Pt: 0.000 0.000 0.000

SG: P4/mmm (123)
ΔE_f (raw): 0.697 eV/atom
distance to the lowest polymorph of the same formula: 409 meV/atom